! GGA-PBE LaSmH, relaxed; values from VASP
&SYSTEM
  ibrav = 0, nat = 3, ntyp = 3
/
ATOMIC_SPECIES
H 1.01 H.upf
La 138.91 La.upf
Sm 150.36 Sm.upf
CELL_PARAMETERS angstrom
-0.849 -3.514 0.942
0.298 0.948 -3.602
5.819 -1.373 0.120
ATOMIC_POSITIONS crystal
H 0.667 0.333 0.343
La 0.000 0.000 0.089
Sm 0.333 0.667 0.568
! energy	-4.545	eV per atom
! spin magnetization	0.00	μB/cell
! SG	P3m1 (156)
! energy above the lowest structure with this stoichiometry	21	meV per atom